1.
ScGeNF2 | Alexandria via LeMat-Bulk | meta-GGA SCAN | single point on PBEsol structure; crystal system = tetragonal; energy relative to the elements, uncorrected = -169.3 kJ per mole of atoms
1.0
-3.380 -1.627 1.238
0.546 -3.024 -2.483
2.175 -2.157 3.105
F N Sc Ge
2 1 1 1
Direct
0.500 0.000 0.000
0.000 0.500 0.000
0.000 0.000 0.500
0.000 0.000 0.000
0.500 0.500 0.500


2.
GeSeN2F | Alexandria via LeMat-Bulk | meta-GGA SCAN | single point on PBEsol structure; crystal system = tetragonal; energy relative to the elements, uncorrected = 104.7 kJ per mole of atoms
1.0
3.602 0.000 0.000
0.000 3.602 0.000
0.000 0.000 5.545
Ge N Se F
1 2 1 1
Direct
0.000 0.000 0.000
0.500 0.000 0.000
0.000 0.500 0.000
0.000 0.000 0.500
0.500 0.500 0.500


3.
SrGeN2F | Alexandria via LeMat-Bulk | meta-GGA SCAN | single point on PBEsol structure; crystal system = tetragonal; energy relative to the elements, uncorrected = -89.9 kJ per mole of atoms
1.0
3.771 0.000 0.000
0.000 3.771 0.000
0.000 0.000 4.291
N Ge F Sr
2 1 1 1
Direct
0.500 0.000 0.000
0.000 0.500 0.000
0.000 0.000 0.000
0.000 0.000 0.500
0.500 0.500 0.500


Q: Among the records above, which one has the lowest energy relative to the elements, uncorrected?
A: ScGeNF2